{"formula": "ErAlB2O6", "functional": "PBE", "state": "relaxed", "space_group": "C2/c (15)", "e_form_raw_ev_per_atom": -2.87, "lattice_angstrom": [[-5.453, 1.243, -1.856], [0.646, -1.100, -5.833], [-2.757, -5.079, 1.502]], "species": ["Er", "Er", "Al", "Al", "B", "B", "B", "B", "O", "O", "O", "O", "O", "O", "O", "O", "O", "O", "O", "O"], "fractional_positions": [[0.250, 0.876, 0.124], [0.750, 0.124, 0.876], [0.250, 0.310, 0.690], [0.750, 0.690, 0.310], [0.286, 0.798, 0.628], [0.214, 0.372, 0.202], [0.714, 0.202, 0.372], [0.786, 0.628, 0.798], [0.153, 0.012, 0.744], [0.347, 0.256, 0.988], [0.847, 0.988, 0.256], [0.653, 0.744, 0.012], [0.419, 0.782, 0.412], [0.081, 0.588, 0.218], [0.581, 0.218, 0.588], [0.919, 0.412, 0.782], [0.779, 0.756, 0.624], [0.721, 0.376, 0.244], [0.221, 0.244, 0.376], [0.279, 0.624, 0.756]]}

{"formula": "Er3AlB2Pt9", "functional": "PBE", "state": "relaxed", "space_group": "P-3m1 (164)", "e_form_ev_per_atom": -0.929, "lattice_angstrom": [[-4.605, -3.245, 0.897], [5.216, -2.174, 0.779], [-0.189, 2.691, 8.768]], "species": ["Er", "Er", "Er", "Al", "B", "B", "Pt", "Pt", "Pt", "Pt", "Pt", "Pt", "Pt", "Pt", "Pt"], "fractional_positions": [[0.333, 0.667, 0.602], [0.000, 0.000, 0.000], [0.667, 0.333, 0.398], [0.000, 0.000, 0.500], [0.333, 0.667, 0.150], [0.667, 0.333, 0.850], [0.836, 0.164, 0.710], [0.836, 0.671, 0.710], [0.329, 0.164, 0.710], [0.671, 0.836, 0.290], [0.164, 0.329, 0.290], [0.164, 0.836, 0.290], [0.500, 0.000, 0.000], [0.000, 0.500, 0.000], [0.500, 0.500, 0.000]]}

{"formula": "Er2AlBRh6", "functional": "PBE", "state": "relaxed", "space_group": "Fm-3m (225)", "e_form_ev_per_atom": -0.631, "lattice_angstrom": [[6.146, 0.000, 0.001], [0.000, 6.146, 0.001], [3.073, 3.074, 4.349]], "species": ["Er", "Er", "Al", "B", "Rh", "Rh", "Rh", "Rh", "Rh", "Rh"], "fractional_positions": [[0.750, 0.250, 0.500], [0.250, 0.750, 0.500], [0.000, 0.000, 0.000], [0.500, 0.500, 0.000], [0.265, 0.265, 0.470], [0.735, 0.735, 0.000], [0.265, 0.735, 0.000], [0.735, 0.265, 0.000], [0.265, 0.265, 0.000], [0.735, 0.735, 0.530]]}

{"formula": "Er2AlB2Ru5", "functional": "PBE", "state": "relaxed", "space_group": "P4/mbm (127)", "e_form_ev_per_atom": -0.534, "lattice_angstrom": [[3.105, 0.000, 0.000], [0.000, 9.542, 0.000], [0.000, 0.000, 9.542]], "species": ["Er", "Er", "Er", "Er", "Al", "Al", "B", "B", "B", "B", "Ru", "Ru", "Ru", "Ru", "Ru", "Ru", "Ru", "Ru", "Ru", "Ru"], "fractional_positions": [[0.000, 0.677, 0.177], [0.000, 0.323, 0.823], [0.000, 0.177, 0.323], [0.000, 0.823, 0.677], [0.000, 0.000, 0.000], [0.000, 0.500, 0.500], [0.000, 0.125, 0.625], [0.000, 0.875, 0.375], [0.000, 0.625, 0.875], [0.000, 0.375, 0.125], [0.500, 0.217, 0.069], [0.500, 0.783, 0.931], [0.500, 0.069, 0.783], [0.500, 0.717, 0.431], [0.500, 0.931, 0.217], [0.500, 0.283, 0.569], [0.500, 0.569, 0.717], [0.500, 0.431, 0.283], [0.500, 0.500, 0.000], [0.500, 0.000, 0.500]]}